Computed, not measured: a relaxed structure of LaHgPPt2 at the GGA-PBE level of DFT.

Cell: 5.291 5.291 6.211 Å, 90.00 90.00 90.00°
Fractional positions:
La1 0.000 0.000 0.000
Hg1 0.000 0.000 0.500
P1 0.500 0.500 0.500
Pt1 0.000 0.500 0.000
Pt2 0.500 0.000 0.000

Crystal system   tetragonal
DFT total energy   -17.45 eV/cell
Density   7.3 Mg/m³

=====

Computed, not measured: a relaxed structure of La2HgP3Rh12 at the GGA-PBE level of DFT.

Cell: 6.817 6.817 6.817 Å, 80.58 80.58 80.58°
Fractional positions:
La1 0.115 0.115 0.115
La2 0.885 0.885 0.885
Hg1 0.500 0.500 0.500
P1 0.000 0.500 0.500
P2 0.500 0.000 0.500
P3 0.500 0.500 0.000
Rh1 0.149 0.673 0.673
Rh2 0.151 0.151 0.588
Rh3 0.151 0.588 0.151
Rh4 0.327 0.327 0.851
Rh5 0.327 0.851 0.327
Rh6 0.412 0.849 0.849
Rh7 0.588 0.151 0.151
Rh8 0.673 0.149 0.673
Rh9 0.673 0.673 0.149
Rh10 0.849 0.412 0.849
Rh11 0.849 0.849 0.412
Rh12 0.851 0.327 0.327

Crystal system   trigonal
DFT total energy   -118.17 eV/cell
Density   9.8 Mg/m³

=====

Computed, not measured: a relaxed structure of LaHgP2S at the GGA-PBE level of DFT.

Cell: 4.933 4.933 5.059 Å, 90.00 90.00 90.00°
Fractional positions:
La1 0.000 0.000 0.000
Hg1 0.500 0.500 0.500
P1 0.000 0.500 0.500
P2 0.500 0.000 0.500
S1 0.500 0.500 0.000

Offset from the most stable computed form   0.000 eV/atom
Uncorrected formation energy   0.0673 eV per atom
Crystal system   tetragonal
DFT total energy   -19.84 eV/cell
Density   5.8 Mg/m³

=====

Computed, not measured: a relaxed structure of LaHgPS2 at the GGA-PBE level of DFT.

Cell: 4.973 4.973 4.967 Å, 90.00 90.00 90.00°
Fractional positions:
La1 0.000 0.000 0.000
Hg1 0.500 0.500 0.500
P1 0.500 0.500 0.000
S1 0.000 0.500 0.500
S2 0.500 0.000 0.500

Offset from the most stable computed form   0.000 eV/atom
Uncorrected formation energy   -0.1970 eV per atom
Crystal system   tetragonal
DFT total energy   -19.88 eV/cell
Density   5.9 Mg/m³

=====

Volume
In order: 173.9 305.3 123.1 122.9
Unit: Å³/cell
Density of states at the Fermi level
In order: 2.14 18.55 4.59 4.55
Unit: states/eV per cell
Total magnetization
In order: 2.0 0.0 0.0 0.0
Unit: Bohr magnetons per cell